1.
Entry from OQMD: a relaxed structure of NdTlPd (PBE).

For the size of the total moment, the calculation gives 0.01 μB per cell. For the calculated volume, the calculation gives 144.1 Å³ per cell. For the energy above the most stable polymorph in this dataset, the calculation gives 0.067 eV/atom.

It has space group P6_3/mmc (No. 194), with a = 4.8681 Å, b = 4.8681 Å, c = 7.0208 Å, α = 90.00°, β = 90.00° and γ = 120.00°. The inequivalent atoms are Nd at (0.0000, 0.0000, 0.0000), Tl at (0.3333, 0.6667, 0.2500) and Pd at (0.3333, 0.6667, 0.7500).

=====

2.
Entry from OQMD: a relaxed structure of NdTlPd4 (PBE).

For the size of the total moment, the calculation gives 0.01 μB per cell. For the calculated volume, the calculation gives 457.3 Å³ per cell. The total energy is -5.238 eV/atom.

It has space group F-43m (No. 216), with a = 7.7045 Å, b = 7.7045 Å, c = 7.7045 Å, α = 90.00°, β = 90.00° and γ = 90.00°. The inequivalent atoms are Nd at (0.0000, 0.0000, 0.0000), Tl at (0.2500, 0.2500, 0.2500) and Pd at (0.1247, 0.1247, 0.6247).

=====

3.
Entry from OQMD: a relaxed structure of NdYTl2Pd4 (PBE).

For the size of the total moment, the calculation gives 0.00 μB per cell. For the calculated volume, the calculation gives 170.9 Å³ per cell. The total energy is -5.227 eV/atom.

It has space group P-6m2 (No. 187), with a = 4.6869 Å, b = 4.6869 Å, c = 8.9846 Å, α = 90.00°, β = 90.00° and γ = 120.00°. The inequivalent atoms are Nd at (0.0000, 0.0000, 0.0000), Y at (0.6667, 0.3333, 0.5000), Tl at (0.3333, 0.6667, 0.2545), Pd at (0.0000, 0.0000, 0.3421) and Pd at (0.6667, 0.3333, 0.1651).

=====

4.
Entry from OQMD: a relaxed structure of NdYTlPd2 (PBE).

For the size of the total moment, the calculation gives 0.01 μB per cell. For the calculated volume, the calculation gives 237.5 Å³ per cell. The total energy is -5.529 eV/atom.

It has space group Amm2 (No. 38), with a = 3.7355 Å, b = 4.1965 Å, c = 15.1534 Å, α = 90.00°, β = 90.00° and γ = 90.00°. The inequivalent atoms are Nd at (0.0000, 0.0000, 0.0000), Y at (0.0000, 0.0000, 0.2675), Tl at (0.5000, 0.0000, 0.6348), Pd at (0.5000, 0.0000, 0.4400) and Pd at (0.5000, 0.0000, 0.8232).

=====

5.
Entry from OQMD: a relaxed structure of NdTmPd (PBE).

For the size of the total moment, the calculation gives 0.00 μB per cell. For the calculated volume, the calculation gives 336.7 Å³ per cell. The formation energy is -128.5 kJ/mol of formula units. For the energy above the most stable polymorph in this dataset, the calculation gives 0.000 eV/atom.

It has space group F-43m (No. 216), with a = 6.9568 Å, b = 6.9568 Å, c = 6.9568 Å, α = 90.00°, β = 90.00° and γ = 90.00°. The inequivalent atoms are Nd at (0.0000, 0.0000, 0.0000), Tm at (0.0000, 0.0000, 0.5000) and Pd at (0.2500, 0.2500, 0.2500).

=====

6.
Entry from OQMD: a relaxed structure of NdUPd (PBE).

For the size of the total moment, the calculation gives 9.64 μB per cell. For the calculated volume, the calculation gives 306.9 Å³ per cell. The formation energy is 147.1 kJ/mol of formula units. For the energy above the most stable polymorph in this dataset, the calculation gives 0.000 eV/atom.

It has space group F-43m (No. 216), with a = 6.7451 Å, b = 6.7451 Å, c = 6.7451 Å, α = 90.00°, β = 90.00° and γ = 90.00°. The inequivalent atoms are Nd at (0.0000, 0.0000, 0.0000), U at (0.2500, 0.2500, 0.2500) and Pd at (0.0000, 0.0000, 0.5000).

=====

7.
Entry from OQMD: a relaxed structure of NdPdW (PBE).

For the size of the total moment, the calculation gives 8.32 μB per cell. For the calculated volume, the calculation gives 283.1 Å³ per cell. The formation energy is 227.3 kJ/mol of formula units. For the energy above the most stable polymorph in this dataset, the calculation gives 0.000 eV/atom.

It has space group F-43m (No. 216), with a = 6.5658 Å, b = 6.5658 Å, c = 6.5658 Å, α = 90.00°, β = 90.00° and γ = 90.00°. The inequivalent atoms are Nd at (0.0000, 0.0000, 0.0000), Pd at (0.2500, 0.2500, 0.2500) and W at (0.0000, 0.0000, 0.5000).

=====

8.
Entry from OQMD: a relaxed structure of NdYPd2 (PBE).

For the size of the total moment, the calculation gives 0.00 μB per cell. For the calculated volume, the calculation gives 188.4 Å³ per cell. The formation energy is -332.2 kJ/mol of formula units.

It has space group Amm2 (No. 38), with a = 4.5923 Å, b = 3.8173 Å, c = 10.7460 Å, α = 90.00°, β = 90.00° and γ = 90.00°. The inequivalent atoms are Nd at (0.0000, 0.0000, 0.0000), Y at (0.5000, 0.0000, 0.2734), Pd at (0.0000, 0.0000, 0.7234) and Pd at (0.5000, 0.0000, 0.5504).

=====

9.
Entry from OQMD: a relaxed structure of Nd6Zn4Pd13 (PBE).

For the size of the total moment, the calculation gives 0.01 μB per cell. For the calculated volume, the calculation gives 908.8 Å³ per cell. The formation energy is -1779.5 kJ/mol of formula units.

It has space group Im-3m (No. 229), with a = 9.6862 Å, b = 9.6862 Å, c = 9.6862 Å, α = 90.00°, β = 90.00° and γ = 90.00°. The inequivalent atoms are Nd at (0.0000, 0.0000, 0.3020), Zn at (0.2500, 0.2500, 0.2500), Pd at (0.0000, 0.0000, 0.0000) and Pd at (0.0000, 0.3309, 0.3309).

=====

10.
Entry from OQMD: a relaxed structure of NdZrPd (PBE).

For the size of the total moment, the calculation gives 0.03 μB per cell. For the calculated volume, the calculation gives 316.3 Å³ per cell. The formation energy is -27.2 kJ/mol of formula units. For the energy above the most stable polymorph in this dataset, the calculation gives 0.000 eV/atom.

It has space group F-43m (No. 216), with a = 6.8136 Å, b = 6.8136 Å, c = 6.8136 Å, α = 90.00°, β = 90.00° and γ = 90.00°. The inequivalent atoms are Nd at (0.0000, 0.0000, 0.0000), Zr at (0.0000, 0.0000, 0.5000) and Pd at (0.2500, 0.2500, 0.2500).

=====

11.
Entry from OQMD: a relaxed structure of NdZrPd (PBE).

For the size of the total moment, the calculation gives 0.04 μB per cell. For the calculated volume, the calculation gives 299.0 Å³ per cell. The formation energy is 157.6 kJ/mol of formula units. For the energy above the most stable polymorph in this dataset, the calculation gives 0.638 eV/atom.

It has space group F-43m (No. 216), with a = 6.6866 Å, b = 6.6866 Å, c = 6.6866 Å, α = 90.00°, β = 90.00° and γ = 90.00°. The inequivalent atoms are Nd at (0.0000, 0.0000, 0.0000), Zr at (0.2500, 0.2500, 0.2500) and Pd at (0.2500, 0.2500, 0.7500).

=====

12.
Entry from OQMD: a relaxed structure of PmNd (PBE).

For the size of the total moment, the calculation gives 0.01 μB per cell. For the calculated volume, the calculation gives 69.4 Å³ per cell. The formation energy is 4.1 kJ/mol of formula units. For the energy above the most stable polymorph in this dataset, the calculation gives 0.000 eV/atom.

It has space group P-6m2 (No. 187), with a = 3.6688 Å, b = 3.6688 Å, c = 5.9504 Å, α = 90.00°, β = 90.00° and γ = 120.00°. The inequivalent atoms are Pm at (0.0000, 0.0000, 0.0000) and Nd at (0.3333, 0.6667, 0.5000).

=====

13.
Entry from OQMD: a relaxed structure of PmNd (PBE).

For the size of the total moment, the calculation gives 0.11 μB per cell. For the calculated volume, the calculation gives 287.5 Å³ per cell. The formation energy is 304.8 kJ/mol of formula units. For the energy above the most stable polymorph in this dataset, the calculation gives 1.558 eV/atom.

It has space group F-43m (No. 216), with a = 6.6003 Å, b = 6.6003 Å, c = 6.6003 Å, α = 90.00°, β = 90.00° and γ = 90.00°. The inequivalent atoms are Pm at (0.0000, 0.0000, 0.0000) and Nd at (0.2500, 0.2500, 0.2500).

=====

14.
Entry from OQMD: a relaxed structure of PmNdPt (PBE).

For the size of the total moment, the calculation gives 0.01 μB per cell. For the calculated volume, the calculation gives 325.1 Å³ per cell. The formation energy is -29.7 kJ/mol of formula units.

It has space group F-43m (No. 216), with a = 6.8762 Å, b = 6.8762 Å, c = 6.8762 Å, α = 90.00°, β = 90.00° and γ = 90.00°. The inequivalent atoms are Pm at (0.0000, 0.0000, 0.0000), Nd at (0.2500, 0.2500, 0.2500) and Pt at (0.0000, 0.0000, 0.5000).